Here is a geometry-optimized GaPd2Pt7 structure from Alexandria. Energies are from PBE.

POSCAR file:
```
GaPd2Pt7
1.0
-0.428 -3.857 -1.820
6.963 -1.702 1.968
-5.817 -1.431 4.400
Pt Ga Pd
7 1 2
direct
0.500 0.918 0.710
0.500 0.290 0.082
0.500 0.082 0.290
0.000 0.185 0.815
0.000 0.815 0.185
0.500 0.710 0.918
0.500 0.500 0.500
0.000 0.000 0.000
0.500 0.297 0.703
0.500 0.703 0.297
```

Its spin magnetization is 0.00 μB/f.u. The volume is 20.0 Å³/atom. For the formation energy, the calculation gives 327.5 meV/atom. The space-group type is No. 65.



Here is a geometry-optimized RbZrTe2O8 structure from Alexandria. Energies are from PBE.

POSCAR file:
```
RbZrTe2O8
1.0
5.803 0.000 0.000
-2.901 5.025 0.000
0.000 0.000 8.461
O Te Zr Rb
8 2 1 1
direct
0.321 0.247 0.351
0.679 0.753 0.649
0.926 0.679 0.351
0.333 0.667 0.937
0.247 0.926 0.649
0.753 0.074 0.351
0.667 0.333 0.063
0.074 0.321 0.649
0.667 0.333 0.279
0.333 0.667 0.721
0.000 0.000 0.500
0.000 0.000 0.000
```

Its spin magnetization is 0.00 μB/f.u. The volume is 20.6 Å³/atom. The space-group type is No. 147. For the formation energy without anion corrections, the calculation gives -1507 meV per atom.



Here is a geometry-optimized Ba2ZnAgH structure from Alexandria. Energies are from PBE.

POSCAR file:
```
Ba2ZnAgH
1.0
5.788 0.000 0.000
0.000 5.788 0.000
0.000 0.000 4.128
H Zn Ba Ag
1 1 2 1
direct
0.000 0.000 0.000
0.500 0.500 0.500
0.500 0.000 0.000
0.000 0.500 0.000
0.000 0.000 0.500
```

Its spin magnetization is 0.00 μB/f.u. The volume is 27.7 Å³/atom. The space-group type is No. 123. Its raw total energy is -12.31 eV per cell.



The following density of states at the Fermi level values (in states/eV per atom) correspond, in order, to the records above: 1.842; 0.457; 0.553.